Record 1
The following is a PBE calculation of an optimized crystal structure of Ba6Sr2Cd, from Alexandria via LeMat-Bulk.

For the total magnetization, the calculation gives 0.0 μB per cell. As for the total energy: -0.0623 hartree per atom. The crystal system is monoclinic. The formation energy comes out at 0.6 eV/f.u. The value obtained for the density is 3.671 g/cm³. The value obtained for the density of states at the Fermi level is 22.6 states/eV/cell. As for the volume: 503 Å³/f.u.

Lattice parameters (Å, degrees): 14.107 11.639 7.072 90.00 120.00 90.00
Space group C2/m (No. 12)
One atom of each set of equivalent atoms:
Ba 0.000 0.167 0.000 (multiplicity 4)
Ba 0.160 0.309 0.660 (multiplicity 8)
Sr 0.181 0.500 0.181 (multiplicity 4)
Cd 0.000 0.000 0.500 (multiplicity 2)


Record 2
The following is a PBE calculation of an optimized crystal structure of Si2NiRu2, from Alexandria via LeMat-Bulk.

The calculation puts the uncorrected formation energy at -289 meV per atom. For the total magnetization, the calculation gives 1.1 μB per cell. As for the total energy: -0.2692 hartree per atom. The crystal system is tetragonal. The value obtained for the density is 7.863 g/cm³. The value obtained for the density of states at the Fermi level is 7.8 states/eV/cell. As for the volume: 67 Å³/f.u.

Lattice parameters (Å, degrees): 6.835 6.835 2.866 90.00 90.00 90.00
Space group P4/mbm (No. 127)
One atom of each set of equivalent atoms:
Si 0.152 0.348 0.000 (multiplicity 4)
Ni 0.000 0.000 0.500 (multiplicity 2)
Ru 0.146 0.646 0.500 (multiplicity 4)